# 1
VASP calculation (PBE) on PrHo4TmSe8 after structural relaxation.

```
PrHo4TmSe8
1.0
-4.047 -6.322 3.856
1.608 -1.719 8.104
-5.785 1.666 5.895
Pr Ho Tm Se
1 4 1 8
direct
0.375 0.375 0.874
0.625 0.625 0.126
0.999 0.503 0.499
0.503 0.999 0.499
0.999 0.999 0.499
0.999 0.999 0.002
0.237 0.786 0.741
0.786 0.237 0.741
0.237 0.237 0.741
0.239 0.239 0.284
0.759 0.228 0.255
0.228 0.759 0.255
0.759 0.759 0.255
0.757 0.757 0.730
```

Values from the calculation:
As for the total energy: -5.660 eV per atom. Its symmetry is R3m (160).



# 2
VASP calculation (PBE) on Si23S3 after structural relaxation.

```
Si23S3
1.0
10.132 0.000 0.000
0.000 10.132 0.000
0.000 0.000 10.132
S Si
6 46
direct
0.250 0.500 0.000
0.750 0.500 0.000
0.500 0.000 0.250
0.500 0.000 0.750
0.000 0.250 0.500
0.000 0.750 0.500
0.250 0.000 0.500
0.750 0.000 0.500
0.000 0.500 0.250
0.000 0.500 0.750
0.500 0.250 0.000
0.500 0.750 0.000
0.684 0.684 0.684
0.684 0.316 0.316
0.316 0.684 0.316
0.316 0.316 0.684
0.816 0.816 0.816
0.816 0.184 0.184
0.184 0.816 0.184
0.184 0.184 0.816
0.316 0.316 0.316
0.316 0.684 0.684
0.684 0.316 0.684
0.684 0.684 0.316
0.184 0.184 0.184
0.184 0.816 0.816
0.816 0.184 0.816
0.816 0.816 0.184
0.000 0.688 0.884
0.000 0.312 0.116
0.000 0.688 0.116
0.000 0.312 0.884
0.688 0.884 0.000
0.688 0.116 0.000
0.312 0.884 0.000
0.312 0.116 0.000
0.884 0.000 0.688
0.884 0.000 0.312
0.116 0.000 0.312
0.116 0.000 0.688
0.812 0.500 0.616
0.812 0.500 0.384
0.188 0.500 0.384
0.188 0.500 0.616
0.500 0.616 0.812
0.500 0.384 0.188
0.500 0.616 0.188
0.500 0.384 0.812
0.616 0.812 0.500
0.616 0.188 0.500
0.384 0.812 0.500
0.384 0.188 0.500
```

Values from the calculation:
As for the total energy: -5.019 eV per atom. Its symmetry is Pm-3n (223).



# 3
VASP calculation (PBE) on SnPCO2 after structural relaxation.

```
SnPCO2
1.0
-0.688 -3.695 -0.644
0.059 -0.666 3.754
-5.823 1.036 0.275
P C Sn O
1 1 1 2
direct
0.000 0.000 0.500
0.500 0.500 0.500
0.000 0.000 0.000
0.000 0.500 0.000
0.500 0.000 0.000
```

Values from the calculation:
As for the total energy: -4.641 eV per atom. Its symmetry is P4/mmm (123). The distance to the lowest polymorph of the same formula comes out at 0.3770 eV/atom.



# 4
VASP calculation (PBE) on AcPb2IO8 after structural relaxation.

```
AcPb2IO8
1.0
5.246 0.008 -0.003
0.054 5.245 -0.006
0.004 0.008 7.179
Ac Pb I O
1 2 1 8
direct
0.000 0.000 0.500
0.500 0.500 0.757
0.500 0.500 0.243
0.000 0.000 0.000
0.178 0.822 0.197
0.739 0.739 0.000
0.822 0.178 0.197
0.822 0.178 0.803
0.261 0.261 0.000
0.178 0.822 0.803
0.677 0.677 0.500
0.323 0.323 0.500
```

Values from the calculation:
As for the total energy: -5.568 eV per atom. Its symmetry is Cmmm (65).



In order of appearance, formation energy from raw total energies = -1.700 0.255 1.069 -1.173 eV per atom.